CaCrRu2 PBE-GGA optimized geometry; energy relative to the lowest polymorph listed for this composition = 0.1426 eV/atom; space-group type = C2/m, No. 12; energy of formation from the pure elements = 0.39 eV/atom
1.0
8.9586 0.0000 0.0000
0.0000 2.9702 0.0000
-1.5516 0.0000 5.1904
Ca Cr Ru
2 2 4
Direct
0.0000 0.0000 0.0000
0.5000 0.5000 0.0000
0.0000 0.5000 0.5000
0.5000 0.0000 0.5000
0.2167 0.0000 0.6732
0.2833 0.5000 0.3268
0.7167 0.5000 0.6732
0.7833 0.0000 0.3268

=====

CaCrRu4 PBE-GGA optimized geometry; space-group type = F-43m, No. 216; energy of formation from the pure elements = 0.36 eV/atom
1.0
0.0000 3.6841 3.6841
3.6841 0.0000 3.6841
3.6841 3.6841 0.0000
Ca Cr Ru
1 1 4
Direct
0.0000 0.0000 0.0000
0.7500 0.7500 0.7500
0.3754 0.3754 0.3754
0.3754 0.3754 0.8737
0.3754 0.8737 0.3754
0.8737 0.3754 0.3754

=====

CaCrRu2 PBE-GGA optimized geometry; energy relative to the lowest polymorph listed for this composition = 0.2489 eV/atom; space-group type = R-3m, No. 166; energy of formation from the pure elements = 0.50 eV/atom
1.0
2.8396 0.0000 0.0000
-1.4198 2.4592 0.0000
0.0000 0.0000 26.9416
Ca Cr Ru
3 3 6
Direct
0.0000 0.0000 0.0000
0.3333 0.6667 0.6667
0.6667 0.3333 0.3333
0.0000 0.0000 0.5000
0.3333 0.6667 0.1667
0.6667 0.3333 0.8333
0.0000 0.0000 0.2389
0.0000 0.0000 0.7611
0.3333 0.6667 0.4278
0.3333 0.6667 0.9056
0.6667 0.3333 0.0944
0.6667 0.3333 0.5722

=====

CaCrRu2 PBE-GGA optimized geometry; energy relative to the lowest polymorph listed for this composition = 0.3441 eV/atom; space-group type = C2/m, No. 12; energy of formation from the pure elements = 0.59 eV/atom
1.0
5.6611 0.0000 0.0000
0.0000 8.7708 0.0000
-1.0621 0.0000 2.6109
Ca Cr Ru
2 2 4
Direct
0.0000 0.0000 0.0000
0.5000 0.5000 0.0000
0.0000 0.5000 0.0000
0.5000 0.0000 0.0000
0.2500 0.2500 0.5000
0.2500 0.7500 0.5000
0.7500 0.2500 0.5000
0.7500 0.7500 0.5000

=====

Ca2CrRu PBE-GGA optimized geometry; energy relative to the lowest polymorph listed for this composition = 0.0000 eV/atom; space-group type = Pm, No. 6; energy of formation from the pure elements = 0.28 eV/atom
1.0
3.2903 0.0000 0.0000
0.0000 3.3197 0.0000
-0.0099 0.0000 8.6531
Ca Cr Ru
2 1 1
Direct
0.0000 0.0000 0.0000
0.4994 0.5000 0.3861
0.0003 0.0000 0.6468
0.5003 0.5000 0.7485

=====

CaCrRu2 PBE-GGA optimized geometry; energy relative to the lowest polymorph listed for this composition = 0.4480 eV/atom; space-group type = R3m, No. 160; energy of formation from the pure elements = 0.69 eV/atom
1.0
2.8053 0.0000 0.0000
-1.4026 2.4294 0.0000
0.0000 0.0000 27.8510
Ca Cr Ru
3 3 6
Direct
0.0000 0.0000 0.0000
0.3333 0.6667 0.6667
0.6667 0.3333 0.3333
0.0000 0.0000 0.7603
0.3333 0.6667 0.4270
0.6667 0.3333 0.0936
0.0000 0.0000 0.2420
0.0000 0.0000 0.4969
0.3333 0.6667 0.1636
0.3333 0.6667 0.9087
0.6667 0.3333 0.5754
0.6667 0.3333 0.8302

=====

CaCrRu2 PBE-GGA optimized geometry; energy relative to the lowest polymorph listed for this composition = 0.2441 eV/atom; space-group type = P4mm, No. 99; energy of formation from the pure elements = 0.49 eV/atom
1.0
3.1673 0.0000 0.0000
0.0000 3.1673 0.0000
0.0000 0.0000 6.9816
Ca Cr Ru
1 1 2
Direct
0.0000 0.0000 0.0000
0.5000 0.5000 0.3447
0.0000 0.0000 0.4817
0.5000 0.5000 0.6997

=====

CaCrRu3 PBE-GGA optimized geometry; energy relative to the lowest polymorph listed for this composition = 1.9714 eV/atom; space-group type = Pm-3m, No. 221; energy of formation from the pure elements = 2.64 eV/atom
1.0
4.5444 0.0000 0.0000
0.0000 4.5444 0.0000
0.0000 0.0000 4.5444
Ca Cr Ru
1 1 3
Direct
0.0000 0.0000 0.0000
0.5000 0.5000 0.5000
0.0000 0.0000 0.5000
0.0000 0.5000 0.0000
0.5000 0.0000 0.0000

=====

CaCr3Ru PBE-GGA optimized geometry; energy relative to the lowest polymorph listed for this composition = 0.0000 eV/atom; space-group type = Pm-3m, No. 221; energy of formation from the pure elements = 0.89 eV/atom
1.0
4.7605 0.0000 0.0000
0.0000 4.7605 0.0000
0.0000 0.0000 4.7605
Ca Cr Ru
1 3 1
Direct
0.0000 0.0000 0.0000
0.0000 0.5000 0.5000
0.5000 0.0000 0.5000
0.5000 0.5000 0.0000
0.5000 0.5000 0.5000

=====

CaCrRu2 PBE-GGA optimized geometry; energy relative to the lowest polymorph listed for this composition = 0.3559 eV/atom; space-group type = F-43m, No. 216; energy of formation from the pure elements = 0.60 eV/atom
1.0
6.4281 0.0000 0.0000
0.0000 6.4281 0.0000
0.0000 0.0000 6.4281
Ca Cr Ru
4 4 8
Direct
0.0000 0.0000 0.0000
0.0000 0.5000 0.5000
0.5000 0.0000 0.5000
0.5000 0.5000 0.0000
0.2500 0.2500 0.7500
0.2500 0.7500 0.2500
0.7500 0.2500 0.2500
0.7500 0.7500 0.7500
0.0000 0.0000 0.5000
0.0000 0.5000 0.0000
0.2500 0.2500 0.2500
0.2500 0.7500 0.7500
0.5000 0.0000 0.0000
0.5000 0.5000 0.5000
0.7500 0.2500 0.7500
0.7500 0.7500 0.2500

=====

CaCr2Ru2 PBE-GGA optimized geometry; energy relative to the lowest polymorph listed for this composition = 0.0000 eV/atom; space-group type = I4/mmm, No. 139; energy of formation from the pure elements = 0.19 eV/atom
1.0
4.1385 0.0000 0.0000
0.0000 4.1385 0.0000
0.0000 0.0000 10.0826
Ca Cr Ru
2 4 4
Direct
0.0000 0.0000 0.0000
0.5000 0.5000 0.5000
0.0000 0.5000 0.2500
0.0000 0.5000 0.7500
0.5000 0.0000 0.2500
0.5000 0.0000 0.7500
0.0000 0.0000 0.3686
0.0000 0.0000 0.6314
0.5000 0.5000 0.1314
0.5000 0.5000 0.8686

=====

CaCr2TcRu PBE-GGA optimized geometry; space-group type = P4/mmm, No. 123; energy of formation from the pure elements = 2.63 eV/atom
1.0
4.2050 0.0000 0.0000
0.0000 4.2050 0.0000
0.0000 0.0000 4.5076
Ca Cr Tc Ru
1 2 1 1
Direct
0.0000 0.0000 0.0000
0.0000 0.5000 0.0000
0.5000 0.0000 0.0000
0.0000 0.0000 0.5000
0.5000 0.5000 0.5000

=====

Repeat the sixth record exactly.
CaCrRu2 PBE-GGA optimized geometry; energy relative to the lowest polymorph listed for this composition = 0.4480 eV/atom; space-group type = R3m, No. 160; energy of formation from the pure elements = 0.69 eV/atom
1.0
2.8053 0.0000 0.0000
-1.4026 2.4294 0.0000
0.0000 0.0000 27.8510
Ca Cr Ru
3 3 6
Direct
0.0000 0.0000 0.0000
0.3333 0.6667 0.6667
0.6667 0.3333 0.3333
0.0000 0.0000 0.7603
0.3333 0.6667 0.4270
0.6667 0.3333 0.0936
0.0000 0.0000 0.2420
0.0000 0.0000 0.4969
0.3333 0.6667 0.1636
0.3333 0.6667 0.9087
0.6667 0.3333 0.5754
0.6667 0.3333 0.8302

=====

Number 12 is which compound? CaCr2TcRu